Entry 1:
The following is a DFT calculation (PBE) of an optimized crystal structure of YAlCuIr.

Cell lengths 4.624, 4.624, 4.624 Å; angles 60.00, 60.00, 60.00 degrees
Positions (direct):
Y (0.000, 0.000, 0.000)
Al (0.250, 0.250, 0.250)
Cu (0.500, 0.500, 0.500)
Ir (0.750, 0.750, 0.750)

Values from the calculation:
SG	F-43m, No. 216
magnetic moment	0.000	μB per atom
energy above the most stable polymorph in this dataset	344.9	meV/atom

---

Entry 2:
The following is a DFT calculation (PBE) of an optimized crystal structure of TbLuZn2Sn2.

Cell lengths 4.480, 4.480, 15.747 Å; angles 90.00, 90.00, 120.00 degrees
Positions (direct):
Tb (0.000, 0.000, 0.000)
Tb (0.000, 0.000, 0.500)
Lu (0.000, 0.000, 0.250)
Lu (0.000, 0.000, 0.750)
Zn (0.333, 0.667, 0.163)
Zn (0.333, 0.667, 0.337)
Zn (0.667, 0.333, 0.663)
Zn (0.667, 0.333, 0.837)
Sn (0.333, 0.667, 0.615)
Sn (0.333, 0.667, 0.885)
Sn (0.667, 0.333, 0.115)
Sn (0.667, 0.333, 0.385)

Values from the calculation:
SG	P6_3/mmc, No. 194
magnetic moment	0.000	μB per atom
energy above the most stable polymorph in this dataset	0.0	meV/atom

---

Entry 3:
The following is a DFT calculation (PBE) of an optimized crystal structure of Nd2DyAl3Ge2Pt.

Cell lengths 4.296, 7.148, 7.148 Å; angles 120.35, 90.00, 90.00 degrees
Positions (direct):
Nd (0.000, 0.207, 0.793)
Nd (0.000, 0.793, 0.207)
Dy (0.000, 0.379, 0.379)
Al (0.500, 0.022, 0.022)
Al (0.500, 0.562, 0.788)
Al (0.500, 0.788, 0.562)
Ge (0.500, 0.135, 0.455)
Ge (0.500, 0.455, 0.135)
Pt (0.000, 0.783, 0.783)

Values from the calculation:
SG	Amm2, No. 38
uncorrected energy	-5.381	eV per atom
magnetic moment	0.000	μB per atom

---

Entry 4:
The following is a DFT calculation (PBE) of an optimized crystal structure of Mg4Tl2IrPt.

Cell lengths 4.735, 4.735, 8.332 Å; angles 90.00, 90.00, 120.00 degrees
Positions (direct):
Mg (0.000, 0.000, 0.170)
Mg (0.000, 0.000, 0.830)
Mg (0.667, 0.333, 0.324)
Mg (0.667, 0.333, 0.676)
Tl (0.333, 0.667, 0.000)
Tl (0.333, 0.667, 0.500)
Ir (0.667, 0.333, 0.000)
Pt (0.000, 0.000, 0.500)

Values from the calculation:
SG	P-6m2, No. 187
uncorrected energy	-3.482	eV per atom
magnetic moment	0.000	μB per atom

---

Entry 5:
The following is a DFT calculation (PBE) of an optimized crystal structure of HfAlTl2.

Cell lengths 5.117, 5.117, 5.117 Å; angles 60.00, 60.00, 60.00 degrees
Positions (direct):
Hf (0.000, 0.000, 0.000)
Al (0.750, 0.750, 0.750)
Tl (0.250, 0.250, 0.250)
Tl (0.500, 0.500, 0.500)

Values from the calculation:
SG	F-43m, No. 216
uncorrected energy	-4.149	eV per atom
magnetic moment	0.004	μB per atom

---

Entry 6:
The following is a DFT calculation (PBE) of an optimized crystal structure of Zr4CdPd.

Cell lengths 3.337, 3.337, 11.552 Å; angles 90.00, 90.00, 90.00 degrees
Positions (direct):
Zr (0.000, 0.000, 0.149)
Zr (0.000, 0.000, 0.851)
Zr (0.500, 0.500, 0.326)
Zr (0.500, 0.500, 0.674)
Cd (0.000, 0.000, 0.500)
Pd (0.500, 0.500, 0.000)

Values from the calculation:
SG	P4/mmm, No. 123
energy of formation	-6.9	kcal/mol of atoms
magnetic moment	0.006	μB per atom

---

Entry 7:
The following is a DFT calculation (PBE) of an optimized crystal structure of LuCoBiPt.

Cell lengths 4.761, 4.761, 4.761 Å; angles 60.00, 60.00, 60.00 degrees
Positions (direct):
Lu (0.000, 0.000, 0.000)
Co (0.500, 0.500, 0.500)
Bi (0.250, 0.250, 0.250)
Pt (0.750, 0.750, 0.750)

Values from the calculation:
SG	F-43m, No. 216
magnetic moment	0.378	μB per atom
energy above the most stable polymorph in this dataset	170.3	meV/atom

---

Entry 8:
The following is a DFT calculation (PBE) of an optimized crystal structure of TcSe.

Cell lengths 3.909, 3.909, 3.909 Å; angles 60.00, 60.00, 60.00 degrees
Positions (direct):
Tc (0.000, 0.000, 0.000)
Se (0.250, 0.250, 0.250)

Values from the calculation:
SG	F-43m, No. 216
magnetic moment	0.000	μB per atom
energy above the most stable polymorph in this dataset	23.8	meV/atom

---

Entry 9:
The following is a DFT calculation (PBE) of an optimized crystal structure of NdDyAl.

Cell lengths 5.086, 5.086, 5.086 Å; angles 60.00, 60.00, 60.00 degrees
Positions (direct):
Nd (0.000, 0.000, 0.000)
Dy (0.750, 0.750, 0.750)
Al (0.500, 0.500, 0.500)

Values from the calculation:
SG	F-43m, No. 216
uncorrected energy	-3.887	eV per atom
magnetic moment	0.289	μB per atom

---

Entry 10:
The following is a DFT calculation (PBE) of an optimized crystal structure of Ni2PdSe2.

Cell lengths 7.996, 7.996, 7.996 Å; angles 97.17, 97.17, 138.63 degrees
Positions (direct):
Ni (0.096, 0.596, 0.191)
Ni (0.096, 0.904, 0.500)
Ni (0.404, 0.596, 0.500)
Ni (0.404, 0.904, 0.809)
Ni (0.596, 0.096, 0.191)
Ni (0.596, 0.404, 0.500)
Ni (0.904, 0.096, 0.500)
Ni (0.904, 0.404, 0.809)
Pd (0.000, 0.000, 0.000)
Pd (0.000, 0.500, 0.500)
Pd (0.500, 0.000, 0.500)
Pd (0.500, 0.500, 0.000)
Se (0.000, 0.245, 0.245)
Se (0.000, 0.755, 0.755)
Se (0.245, 0.000, 0.245)
Se (0.331, 0.331, 0.662)
Se (0.331, 0.669, 0.000)
Se (0.669, 0.331, 0.000)
Se (0.669, 0.669, 0.338)
Se (0.755, 0.000, 0.755)

Values from the calculation:
SG	I4/mmm, No. 139
uncorrected energy	-4.923	eV per atom
magnetic moment	0.001	μB per atom

---

Entry 11:
The following is a DFT calculation (PBE) of an optimized crystal structure of ZnFe2Si.

Cell lengths 5.646, 5.646, 5.646 Å; angles 90.00, 90.00, 90.00 degrees
Positions (direct):
Zn (0.000, 0.000, 0.000)
Zn (0.000, 0.000, 0.500)
Zn (0.000, 0.500, 0.000)
Zn (0.500, 0.000, 0.000)
Fe (0.262, 0.262, 0.262)
Fe (0.262, 0.262, 0.738)
Fe (0.262, 0.738, 0.262)
Fe (0.262, 0.738, 0.738)
Fe (0.738, 0.262, 0.262)
Fe (0.738, 0.262, 0.738)
Fe (0.738, 0.738, 0.262)
Fe (0.738, 0.738, 0.738)
Si (0.000, 0.500, 0.500)
Si (0.500, 0.000, 0.500)
Si (0.500, 0.500, 0.000)
Si (0.500, 0.500, 0.500)

Values from the calculation:
SG	Pm-3m, No. 221
uncorrected energy	-5.990	eV per atom
magnetic moment	0.342	μB per atom

---

Entry 12:
The following is a DFT calculation (PBE) of an optimized crystal structure of HoErCuTe3.

Cell lengths 7.381, 7.381, 11.065 Å; angles 90.00, 90.00, 147.67 degrees
Positions (direct):
Ho (0.000, 0.000, 0.000)
Ho (0.000, 0.000, 0.500)
Er (0.225, 0.775, 0.750)
Er (0.775, 0.225, 0.250)
Cu (0.472, 0.528, 0.250)
Cu (0.528, 0.472, 0.750)
Te (0.099, 0.901, 0.250)
Te (0.351, 0.649, 0.068)
Te (0.351, 0.649, 0.432)
Te (0.649, 0.351, 0.568)
Te (0.649, 0.351, 0.932)
Te (0.901, 0.099, 0.750)

Values from the calculation:
SG	Cmcm, No. 63
uncorrected energy	-4.684	eV per atom
magnetic moment	0.001	μB per atom

---

Entry 13:
The following is a DFT calculation (PBE) of an optimized crystal structure of Hf4InNiC2.

Cell lengths 3.292, 3.292, 13.922 Å; angles 90.00, 90.00, 120.00 degrees
Positions (direct):
Hf (0.000, 0.000, 0.136)
Hf (0.000, 0.000, 0.864)
Hf (0.667, 0.333, 0.320)
Hf (0.667, 0.333, 0.680)
In (0.000, 0.000, 0.500)
Ni (0.667, 0.333, 0.000)
C (0.333, 0.667, 0.234)
C (0.333, 0.667, 0.766)

Values from the calculation:
SG	P-6m2, No. 187
uncorrected energy	-8.948	eV per atom
magnetic moment	0.001	μB per atom

---

Entry 14:
The following is a DFT calculation (PBE) of an optimized crystal structure of KHfGaTe3.

Cell lengths 8.453, 8.453, 12.183 Å; angles 90.00, 90.00, 152.03 degrees
Positions (direct):
K (0.213, 0.787, 0.750)
K (0.787, 0.213, 0.250)
Hf (0.500, 0.500, 0.000)
Hf (0.500, 0.500, 0.500)
Ga (0.116, 0.884, 0.250)
Ga (0.884, 0.116, 0.750)
Te (0.124, 0.876, 0.001)
Te (0.124, 0.876, 0.499)
Te (0.498, 0.502, 0.250)
Te (0.502, 0.498, 0.750)
Te (0.876, 0.124, 0.501)
Te (0.876, 0.124, 0.999)

Values from the calculation:
SG	Cmcm, No. 63
uncorrected energy	-4.574	eV per atom
magnetic moment	0.000	μB per atom

---

Entry 15:
The following is a DFT calculation (PBE) of an optimized crystal structure of MgZnSiPd.

Cell lengths 4.434, 4.434, 4.434 Å; angles 60.00, 60.00, 60.00 degrees
Positions (direct):
Mg (0.000, 0.000, 0.000)
Zn (0.750, 0.750, 0.750)
Si (0.250, 0.250, 0.250)
Pd (0.500, 0.500, 0.500)

Values from the calculation:
SG	F-43m, No. 216
energy above the most stable polymorph in this dataset	22.2	meV/atom

---

Entry 16:
The following is a DFT calculation (PBE) of an optimized crystal structure of RbPmLu.

Cell lengths 5.969, 5.969, 5.969 Å; angles 60.00, 60.00, 60.00 degrees
Positions (direct):
Rb (0.000, 0.000, 0.000)
Pm (0.500, 0.500, 0.500)
Lu (0.750, 0.750, 0.750)

Values from the calculation:
SG	F-43m, No. 216
uncorrected energy	-2.206	eV per atom
magnetic moment	0.435	μB per atom

---

Entry 17:
The following is a DFT calculation (PBE) of an optimized crystal structure of TlIr.

Cell lengths 3.141, 3.141, 4.394 Å; angles 90.00, 90.00, 120.00 degrees
Positions (direct):
Tl (0.000, 0.000, 0.000)
Ir (0.333, 0.667, 0.500)

Values from the calculation:
SG	P-6m2, No. 187
uncorrected energy	-4.980	eV per atom
magnetic moment	0.002	μB per atom

---

Entry 18:
The following is a DFT calculation (PBE) of an optimized crystal structure of ThAlHg.

Cell lengths 4.904, 4.904, 4.904 Å; angles 60.00, 60.00, 60.00 degrees
Positions (direct):
Th (0.000, 0.000, 0.000)
Al (0.500, 0.500, 0.500)
Hg (0.750, 0.750, 0.750)

Values from the calculation:
SG	F-43m, No. 216
magnetic moment	0.000	μB per atom
energy above the most stable polymorph in this dataset	0.0	meV/atom

---

Entry 19:
The following is a DFT calculation (PBE) of an optimized crystal structure of YAg2WS6.

Cell lengths 7.017, 7.017, 7.017 Å; angles 60.00, 60.00, 60.00 degrees
Positions (direct):
Y (0.000, 0.000, 0.000)
Ag (0.250, 0.250, 0.250)
Ag (0.750, 0.750, 0.750)
W (0.500, 0.500, 0.500)
S (0.263, 0.263, 0.737)
S (0.263, 0.737, 0.263)
S (0.263, 0.737, 0.737)
S (0.737, 0.263, 0.263)
S (0.737, 0.263, 0.737)
S (0.737, 0.737, 0.263)

Values from the calculation:
SG	Fm-3m, No. 225
uncorrected energy	-5.167	eV per atom
magnetic moment	0.001	μB per atom

---

Entry 20:
The following is a DFT calculation (PBE) of an optimized crystal structure of CdBiAsO.

Cell lengths 9.650, 16.487, 4.648 Å; angles 90.00, 90.00, 90.00 degrees
Positions (direct):
Cd (0.076, 0.124, 0.000)
Cd (0.078, 0.625, 0.000)
Cd (0.422, 0.125, 0.000)
Cd (0.424, 0.624, 0.000)
Cd (0.576, 0.376, 0.000)
Cd (0.578, 0.875, 0.000)
Cd (0.922, 0.375, 0.000)
Cd (0.924, 0.876, 0.000)
Bi (0.247, 0.252, 0.500)
Bi (0.249, 0.997, 0.500)
Bi (0.251, 0.497, 0.500)
Bi (0.253, 0.752, 0.500)
Bi (0.747, 0.248, 0.500)
Bi (0.749, 0.503, 0.500)
Bi (0.751, 0.003, 0.500)
Bi (0.753, 0.748, 0.500)
As (0.048, 0.376, 0.500)
As (0.049, 0.874, 0.500)
As (0.451, 0.374, 0.500)
As (0.452, 0.876, 0.500)
As (0.548, 0.124, 0.500)
As (0.549, 0.626, 0.500)
As (0.951, 0.126, 0.500)
As (0.952, 0.624, 0.500)
O (0.249, 0.028, 0.000)
O (0.249, 0.221, 0.000)
O (0.251, 0.528, 0.000)
O (0.251, 0.721, 0.000)
O (0.749, 0.279, 0.000)
O (0.749, 0.472, 0.000)
O (0.751, 0.779, 0.000)
O (0.751, 0.972, 0.000)

Values from the calculation:
SG	Pbam, No. 55
energy above the most stable polymorph in this dataset	17.9	meV/atom

---

Entry 21:
The following is a DFT calculation (PBE) of an optimized crystal structure of TmTaGa.

Cell lengths 4.766, 4.766, 4.766 Å; angles 60.00, 60.00, 60.00 degrees
Positions (direct):
Tm (0.000, 0.000, 0.000)
Ta (0.250, 0.250, 0.250)
Ga (0.750, 0.750, 0.750)

Values from the calculation:
SG	F-43m, No. 216
magnetic moment	0.860	μB per atom
energy above the most stable polymorph in this dataset	835.3	meV/atom

---

Entry 22:
The following is a DFT calculation (PBE) of an optimized crystal structure of Ba3Cu4P4.

Cell lengths 4.122, 4.122, 16.661 Å; angles 90.00, 90.00, 120.00 degrees
Positions (direct):
Ba (0.000, 0.000, 0.000)
Ba (0.000, 0.000, 0.287)
Ba (0.000, 0.000, 0.713)
Cu (0.333, 0.667, 0.142)
Cu (0.333, 0.667, 0.552)
Cu (0.667, 0.333, 0.448)
Cu (0.667, 0.333, 0.858)
P (0.333, 0.667, 0.414)
P (0.333, 0.667, 0.860)
P (0.667, 0.333, 0.140)
P (0.667, 0.333, 0.586)

Values from the calculation:
SG	P-3m1, No. 164
uncorrected energy	-4.417	eV per atom

---

Entry 23:
The following is a DFT calculation (PBE) of an optimized crystal structure of Zr3Al3NiPt2.

Cell lengths 7.120, 7.120, 3.573 Å; angles 90.00, 90.00, 120.00 degrees
Positions (direct):
Zr (0.000, 0.396, 0.000)
Zr (0.396, 0.000, 0.000)
Zr (0.604, 0.604, 0.000)
Al (0.000, 0.753, 0.500)
Al (0.247, 0.247, 0.500)
Al (0.753, 0.000, 0.500)
Ni (0.000, 0.000, 0.000)
Pt (0.333, 0.667, 0.500)
Pt (0.667, 0.333, 0.500)

Values from the calculation:
SG	P-62m, No. 189
uncorrected energy	-6.972	eV per atom
magnetic moment	0.000	μB per atom

---

Entry 24:
The following is a DFT calculation (PBE) of an optimized crystal structure of Pm3SmAl8.

Cell lengths 9.796, 9.796, 9.796 Å; angles 33.57, 33.57, 33.57 degrees
Positions (direct):
Pm (0.000, 0.000, 0.000)
Pm (0.125, 0.125, 0.125)
Pm (0.500, 0.500, 0.500)
Sm (0.625, 0.625, 0.625)
Al (0.062, 0.562, 0.562)
Al (0.063, 0.063, 0.563)
Al (0.063, 0.563, 0.063)
Al (0.312, 0.312, 0.312)
Al (0.562, 0.062, 0.562)
Al (0.562, 0.562, 0.062)
Al (0.563, 0.063, 0.063)
Al (0.813, 0.813, 0.813)

Values from the calculation:
SG	R3m, No. 160
uncorrected energy	-4.589	eV per atom
magnetic moment	0.016	μB per atom